A plane-wave DFT calculation with PBE was carried out for CaGa2Co after structural relaxation.

a b c (Å): 5.772 5.772 5.772
angles (deg): 41.67 41.67 41.67
Fractional positions:
Ca 0.000 0.000 0.000
Ga 0.205 0.205 0.205
Ga 0.795 0.795 0.795
Co 0.500 0.500 0.500

Values from the calculation:
Crystal system: trigonal
VASP energy: -4.13 eV/atom
Space group: R-3m (166)